# SmCr2Ga4

Crystalline SmCr2Ga4 at its relaxed geometry (GGA-PBE, Alexandria via LeMat-Bulk).

```
SmCr2Ga4
1.0
5.138 0.000 0.000
2.569 4.672 0.004
2.569 -0.008 4.672
Cr Ga Sm
2 4 1
Direct
0.251 0.500 0.500
0.749 0.500 0.500
0.696 0.609 0.000
0.696 0.000 0.609
0.304 0.000 0.391
0.304 0.391 0.000
0.000 0.000 0.000
```

Summary:
Magnetization: 0.1103 μB/atom
Final energy: -5.363 eV per atom
Calculated volume: 112.1 Å³ per cell
Calculated formation energy: -0.209 eV per atom
Space group: Immm (71)



# MgMn3Ni

Crystalline MgMn3Ni at its relaxed geometry (GGA-PBE, Alexandria via LeMat-Bulk).

```
MgMn3Ni
1.0
-0.183 4.138 2.003
-1.911 -1.891 3.734
4.181 -0.683 1.794
Mg Mn Ni
1 3 1
Direct
0.000 0.000 0.000
0.000 0.500 0.000
0.500 0.000 0.000
0.000 0.000 0.500
0.500 0.500 0.500
```

Summary:
Magnetization: 2.3853 μB/atom
Energy above the lowest structure with this stoichiometry: 0.997 eV/atom
Final energy: -5.323 eV per atom
Calculated volume: 97.4 Å³ per cell
Calculated formation energy: 1.654 eV per atom
Space group: Pm-3m (221)



# MgZn7Ir4

Crystalline MgZn7Ir4 at its relaxed geometry (GGA-PBE, Alexandria via LeMat-Bulk).

```
MgZn7Ir4
1.0
-3.045 -3.789 2.052
3.169 -4.363 2.142
-2.308 -2.421 8.265
Zn Mg Ir
7 1 4
Direct
0.255 0.818 0.638
0.230 0.499 0.018
0.954 0.651 0.353
0.046 0.349 0.647
0.745 0.182 0.362
0.500 0.000 0.000
0.770 0.501 0.982
0.000 0.000 0.000
0.499 0.669 0.303
0.501 0.331 0.697
0.708 0.824 0.674
0.292 0.176 0.326
```

Summary:
Magnetization: 0.0000 μB/atom
Final energy: -3.992 eV per atom
Calculated volume: 175.6 Å³ per cell
Calculated formation energy: -0.162 eV per atom
Space group: P-1 (2)



- What is the formula in the third record?
  MgZn7Ir4